VASP calculation (PBE) on a relaxed Pm3Y4Pd4 crystal.

```
data_Pm3Y4Pd4
_cell_length_a 4.798
_cell_length_b 7.623
_cell_length_c 15.601
_cell_angle_alpha 90.00
_cell_angle_beta 90.00
_cell_angle_gamma 90.00
_space_group_name_H-M_alt 'I m m m'
_space_group_IT_number 71
_space_group_name_Hall '-I 2 2'
loop_
_atom_site_label
_atom_site_type_symbol
_atom_site_fract_x
_atom_site_fract_y
_atom_site_fract_z
Pm1 Pm 0.000 0.000 0.000
Pm2 Pm 0.000 0.500 0.102
Y1 Y 0.000 0.282 0.328
Pd1 Pd 0.000 0.000 0.203
Pd2 Pd 0.000 0.184 0.500
```

***

VASP calculation (PBE) on a relaxed Pm4YPd5 crystal.

```
data_Pm4YPd5
_cell_length_a 3.545
_cell_length_b 3.545
_cell_length_c 18.286
_cell_angle_alpha 90.00
_cell_angle_beta 90.00
_cell_angle_gamma 90.00
_space_group_name_H-M_alt 'P 4/m m m'
_space_group_IT_number 123
_space_group_name_Hall '-P 4 2'
loop_
_atom_site_label
_atom_site_type_symbol
_atom_site_fract_x
_atom_site_fract_y
_atom_site_fract_z
Pm1 Pm 0.000 0.000 0.101
Pm2 Pm 0.000 0.000 0.303
Y1 Y 0.000 0.000 0.500
Pd1 Pd 0.500 0.500 0.000
Pd2 Pd 0.500 0.500 0.202
Pd3 Pd 0.500 0.500 0.406
```

***

# Pm2YPd3 PBE relaxed
data_Pm2YPd3
_cell_length_a 5.095
_cell_length_b 15.379
_cell_length_c 3.491
_cell_angle_alpha 90.00
_cell_angle_beta 90.00
_cell_angle_gamma 90.00
_space_group_name_H-M_alt 'P m m n'
_space_group_IT_number 59
loop_
_space_group_symop_operation_xyz
'x,y,z'
'-x,-y,-z'
'-x+1/2,-y+1/2,z'
'x+1/2,y+1/2,-z'
'x+1/2,-y,-z'
'-x+1/2,y,z'
'-x,y+1/2,-z'
'x,-y+1/2,z'
loop_
_atom_site_label
_atom_site_type_symbol
_atom_site_fract_x
_atom_site_fract_y
_atom_site_fract_z
Pm1 Pm 0.250 0.084 0.001
Y1 Y 0.250 0.750 0.999
Pd1 Pd 0.250 0.250 0.501
Pd2 Pd 0.250 0.590 0.499
# - Energy above the most stable polymorph in this dataset: 0.00 eV/f.u.

***

VASP calculation (PBE) on a relaxed Pm3YPd12 crystal.

```
data_Pm3YPd12
_cell_length_a 4.165
_cell_length_b 4.165
_cell_length_c 16.758
_cell_angle_alpha 90.00
_cell_angle_beta 90.00
_cell_angle_gamma 90.00
_space_group_name_H-M_alt 'P 4/m m m'
_space_group_IT_number 123
_space_group_name_Hall '-P 4 2'
loop_
_atom_site_label
_atom_site_type_symbol
_atom_site_fract_x
_atom_site_fract_y
_atom_site_fract_z
Pm1 Pm 0.000 0.000 0.000
Pm2 Pm 0.000 0.000 0.252
Y1 Y 0.000 0.000 0.500
Pd1 Pd 0.000 0.500 0.126
Pd2 Pd 0.000 0.500 0.378
Pd3 Pd 0.500 0.500 0.000
Pd4 Pd 0.500 0.500 0.251
Pd5 Pd 0.500 0.500 0.500
```

***

# Pm2YPd3 PBE relaxed
data_Pm2YPd3
_cell_length_a 3.569
_cell_length_b 3.569
_cell_length_c 10.741
_cell_angle_alpha 90.00
_cell_angle_beta 90.00
_cell_angle_gamma 90.00
_space_group_name_H-M_alt 'P 4/m m m'
_space_group_IT_number 123
_space_group_name_Hall '-P 4 2'
loop_
_atom_site_label
_atom_site_type_symbol
_atom_site_fract_x
_atom_site_fract_y
_atom_site_fract_z
Pm1 Pm 0.000 0.000 0.170
Y1 Y 0.000 0.000 0.500
Pd1 Pd 0.500 0.500 0.000
Pd2 Pd 0.500 0.500 0.341
# - Energy above the most stable polymorph in this dataset: 0.02 eV/f.u.

***

# Pm2YPd PBE relaxed
data_Pm2YPd
_cell_length_a 3.678
_cell_length_b 3.678
_cell_length_c 8.510
_cell_angle_alpha 90.00
_cell_angle_beta 90.00
_cell_angle_gamma 90.00
_space_group_name_H-M_alt 'P 4/m m m'
_space_group_IT_number 123
_space_group_name_Hall '-P 4 2'
loop_
_atom_site_label
_atom_site_type_symbol
_atom_site_fract_x
_atom_site_fract_y
_atom_site_fract_z
Pm1 Pm 0.000 0.000 0.201
Y1 Y 0.500 0.500 0.500
Pd1 Pd 0.500 0.500 0.000
# - Energy above the most stable polymorph in this dataset: 0.38 eV/f.u.

***

VASP calculation (PBE) on a relaxed Pm3YPd2 crystal.

```
data_Pm3YPd2
_cell_length_a 7.022
_cell_length_b 13.986
_cell_length_c 7.300
_cell_angle_alpha 90.00
_cell_angle_beta 90.00
_cell_angle_gamma 90.00
_space_group_name_H-M_alt 'I b a m'
_space_group_IT_number 72
_space_group_name_Hall '-I 2 2c'
loop_
_atom_site_label
_atom_site_type_symbol
_atom_site_fract_x
_atom_site_fract_y
_atom_site_fract_z
Pm1 Pm 0.000 0.000 0.250
Pm2 Pm 0.000 0.268 0.250
Y1 Y 0.000 0.500 0.000
Pd1 Pd 0.209 0.139 0.000
```

***

VASP calculation (PBE) on a relaxed Pm2YPd9 crystal.

```
data_Pm2YPd9
_cell_length_a 4.172
_cell_length_b 4.172
_cell_length_c 12.494
_cell_angle_alpha 90.00
_cell_angle_beta 90.00
_cell_angle_gamma 90.00
_space_group_name_H-M_alt 'P 4/m m m'
_space_group_IT_number 123
_space_group_name_Hall '-P 4 2'
loop_
_atom_site_label
_atom_site_type_symbol
_atom_site_fract_x
_atom_site_fract_y
_atom_site_fract_z
Pm1 Pm 0.000 0.000 0.169
Y1 Y 0.000 0.000 0.500
Pd1 Pd 0.000 0.500 0.000
Pd2 Pd 0.000 0.500 0.336
Pd3 Pd 0.500 0.500 0.168
Pd4 Pd 0.500 0.500 0.500
```

***

# Pm2YPd PBE relaxed
data_Pm2YPd
_cell_length_a 3.878
_cell_length_b 12.148
_cell_length_c 9.770
_cell_angle_alpha 90.00
_cell_angle_beta 90.00
_cell_angle_gamma 90.00
_space_group_name_H-M_alt 'C m c m'
_space_group_IT_number 63
_space_group_name_Hall '-C 2c 2'
loop_
_atom_site_label
_atom_site_type_symbol
_atom_site_fract_x
_atom_site_fract_y
_atom_site_fract_z
Pm1 Pm 0.000 0.136 0.060
Y1 Y 0.000 0.429 0.250
Pd1 Pd 0.000 0.266 0.750
# - Energy above the most stable polymorph in this dataset: 0.06 eV/f.u.

***

# Pm2YPd PBE relaxed
data_Pm2YPd
_cell_length_a 3.4861
_cell_length_b 3.4861
_cell_length_c 33.8092
_cell_angle_alpha 90.00
_cell_angle_beta 90.00
_cell_angle_gamma 120.00
_space_group_name_H-M_alt 'R -3 m'
_space_group_IT_number 166
_space_group_name_Hall '-R 3 2"'
loop_
_atom_site_label
_atom_site_type_symbol
_atom_site_fract_x
_atom_site_fract_y
_atom_site_fract_z
Pm1 Pm 0.0000 0.0000 0.0792
Y1 Y 0.0000 0.0000 0.5000
Pd1 Pd 0.0000 0.0000 0.0000
# - Energy above the most stable polymorph in this dataset: 2.10 eV/f.u.

***

VASP calculation (PBE) on a relaxed PmY5Pd2 crystal.

```
data_PmY5Pd2
_cell_length_a 3.869
_cell_length_b 12.936
_cell_length_c 18.184
_cell_angle_alpha 90.00
_cell_angle_beta 90.00
_cell_angle_gamma 90.00
_space_group_name_H-M_alt 'C m c m'
_space_group_IT_number 63
_space_group_name_Hall '-C 2c 2'
loop_
_atom_site_label
_atom_site_type_symbol
_atom_site_fract_x
_atom_site_fract_y
_atom_site_fract_z
Pm1 Pm 0.000 0.152 0.250
Y1 Y 0.000 0.112 0.750
Y2 Y 0.000 0.156 0.044
Y3 Y 0.000 0.447 0.101
Pd1 Pd 0.000 0.242 0.628
```

***

VASP calculation (PBE) on a relaxed PmY3Pd12 crystal.

```
data_PmY3Pd12
_cell_length_a 4.141
_cell_length_b 4.141
_cell_length_c 16.646
_cell_angle_alpha 90.00
_cell_angle_beta 90.00
_cell_angle_gamma 90.00
_space_group_name_H-M_alt 'P 4/m m m'
_space_group_IT_number 123
_space_group_name_Hall '-P 4 2'
loop_
_atom_site_label
_atom_site_type_symbol
_atom_site_fract_x
_atom_site_fract_y
_atom_site_fract_z
Pm1 Pm 0.000 0.000 0.000
Y1 Y 0.000 0.000 0.252
Y2 Y 0.000 0.000 0.500
Pd1 Pd 0.000 0.500 0.128
Pd2 Pd 0.000 0.500 0.376
Pd3 Pd 0.500 0.500 0.000
Pd4 Pd 0.500 0.500 0.251
Pd5 Pd 0.500 0.500 0.500
```

***

Number 1: calculated formation energy -0.55 eV/atom. Number 2: calculated formation energy -0.79 eV/atom. Number 3: calculated formation energy -0.80 eV/atom. Number 4: calculated formation energy -0.80 eV/atom. Number 5: calculated formation energy -0.80 eV/atom. Number 6: calculated formation energy -0.34 eV/atom. Number 7: calculated formation energy -0.44 eV/atom. Number 8: calculated formation energy -0.81 eV/atom. Number 9: calculated formation energy -0.42 eV/atom. Number 10: calculated formation energy 0.09 eV/atom. Number 11: calculated formation energy -0.36 eV/atom. Number 12: calculated formation energy -0.83 eV/atom.